Entry from the Alexandria database: crystalline Na3TbMo2O6 at its relaxed geometry (PBE with a Hubbard U).

Values from the calculation:
**Calculated total energy**: -6.4265 eV per atom
**Total magnetic moment**: 6.0 μB per formula unit
**Density of states at the Fermi level**: 0.00 states/eV per cell
**Crystal system**: monoclinic

Cell lengths 5.724, 5.724, 5.851 Å; angles 99.32, 99.32, 120.03 degrees
Each line ends with the local moment (μB).
Fractional coordinates of all 12 atoms:
1 O 0.415 0.070 0.211  0.04
2 O 0.725 0.725 0.213  0.04
3 O 0.585 0.930 0.789  0.04
4 O 0.930 0.585 0.789  0.04
5 O 0.275 0.275 0.787  0.04
6 O 0.070 0.415 0.211  0.04
7 Na 0.828 0.172 0.500  0.00
8 Na 0.172 0.828 0.500  0.00
9 Na 0.500 0.500 0.500  0.00
10 Mo 0.666 0.334 0.000  2.71
11 Mo 0.334 0.666 0.000  2.71
12 Tb 0.000 0.000 0.000  0.01



Entry from the Alexandria database: crystalline NaTb2MoO6 at its relaxed geometry (PBE with a Hubbard U).

Values from the calculation:
**Calculated total energy**: -7.3689 eV per atom
**Total magnetic moment**: 1.0 μB per formula unit
**Density of states at the Fermi level**: 0.00 states/eV per cell
**Crystal system**: triclinic

Cell lengths 5.653, 5.700, 5.976 Å; angles 61.60, 62.69, 60.33 degrees
Each line ends with the local moment (μB).
Fractional coordinates of all 10 atoms:
1 O 0.146 0.396 0.777  -0.02
2 O 0.960 0.576 0.236  0.03
3 O 0.400 0.691 0.764  0.01
4 O 0.566 0.232 0.230  -0.03
5 O 0.687 0.140 0.772  0.02
6 O 0.221 0.961 0.238  0.03
7 Tb 0.530 0.531 0.421  0.02
8 Tb 0.026 0.012 0.939  0.00
9 Na 0.806 0.801 0.599  0.00
10 Mo 0.321 0.322 0.039  0.94



Entry from the Alexandria database: crystalline Na4Tb3MoO8 at its relaxed geometry (PBE with a Hubbard U).

Values from the calculation:
**Calculated total energy**: -6.6144 eV per atom
**Total magnetic moment**: 3.0 μB per formula unit
**Density of states at the Fermi level**: 0.00 states/eV per cell
**Crystal system**: trigonal

Cell lengths 6.782, 6.814, 6.782 Å; angles 119.83, 120.00, 90.00 degrees
Each line ends with the local moment (μB).
Fractional coordinates of all 16 atoms:
1 Tb 0.000 0.500 0.500  0.00
2 Tb 0.500 0.500 0.500  0.00
3 Tb 0.500 0.500 0.000  0.00
4 O 0.767 0.287 0.021  0.02
5 O 0.737 0.713 0.475  0.00
6 O 0.263 0.287 0.525  0.00
7 O 0.767 0.287 0.534  0.02
8 O 0.233 0.713 0.979  0.02
9 O 0.233 0.713 0.466  0.02
10 O 0.746 0.713 0.979  0.02
11 O 0.254 0.287 0.021  0.02
12 Mo 0.000 0.500 0.000  2.69
13 Na 0.500 0.000 0.000  0.00
14 Na 0.500 0.000 0.500  0.00
15 Na 0.000 0.000 0.500  0.00
16 Na 0.000 0.000 0.000  0.00



Entry from the Alexandria database: crystalline Na2Tb2MoO6 at its relaxed geometry (PBE with a Hubbard U).

Values from the calculation:
**Calculated total energy**: -6.8988 eV per atom
**Total magnetic moment**: 2.0 μB per formula unit
**Density of states at the Fermi level**: 0.00 states/eV per cell
**Crystal system**: monoclinic

Cell lengths 5.806, 5.806, 5.913 Å; angles 98.41, 98.41, 119.37 degrees
Each line ends with the local moment (μB).
Fractional coordinates of all 11 atoms:
1 Tb 0.663 0.337 0.500  0.01
2 Tb 0.337 0.663 0.500  0.01
3 O 0.749 0.749 0.702  0.04
4 O 0.049 0.361 0.693  0.00
5 O 0.951 0.639 0.307  0.00
6 O 0.639 0.951 0.307  0.00
7 O 0.251 0.251 0.298  0.04
8 O 0.361 0.049 0.693  0.00
9 Na 0.850 0.150 0.000  0.00
10 Na 0.150 0.850 0.000  0.00
11 Mo 0.000 0.000 0.500  1.84



Please write out number 2 again, unchanged.
Entry from the Alexandria database: crystalline NaTb2MoO6 at its relaxed geometry (PBE with a Hubbard U).

Values from the calculation:
**Calculated total energy**: -7.3689 eV per atom
**Total magnetic moment**: 1.0 μB per formula unit
**Density of states at the Fermi level**: 0.00 states/eV per cell
**Crystal system**: triclinic

Cell lengths 5.653, 5.700, 5.976 Å; angles 61.60, 62.69, 60.33 degrees
Each line ends with the local moment (μB).
Fractional coordinates of all 10 atoms:
1 O 0.146 0.396 0.777  -0.02
2 O 0.960 0.576 0.236  0.03
3 O 0.400 0.691 0.764  0.01
4 O 0.566 0.232 0.230  -0.03
5 O 0.687 0.140 0.772  0.02
6 O 0.221 0.961 0.238  0.03
7 Tb 0.530 0.531 0.421  0.02
8 Tb 0.026 0.012 0.939  0.00
9 Na 0.806 0.801 0.599  0.00
10 Mo 0.321 0.322 0.039  0.94